Record 1
# La3Ce2DyN6 (PBE, optimized geometry)
data_La3Ce2DyN6
_chemical_formula_sum 'La3 Ce2 Dy1 N6'
_cell_length_a 6.271
_cell_length_b 6.271
_cell_length_c 6.329
_cell_angle_alpha 99.50
_cell_angle_beta 99.50
_cell_angle_gamma 120.01
_space_group_name_H-M_alt 'P 1'
_space_group_IT_number 1
_space_group_name_Hall 'P 1'
loop_
_atom_site_label
_atom_site_type_symbol
_atom_site_fract_x
_atom_site_fract_y
_atom_site_fract_z
N1 N 0.740 0.740 0.228
N2 N 0.412 0.076 0.228
N3 N 0.076 0.412 0.228
N4 N 0.260 0.260 0.772
N5 N 0.588 0.924 0.772
N6 N 0.924 0.588 0.772
Dy1 Dy 0.000 0.000 0.000
Ce1 Ce 0.667 0.333 0.000
Ce2 Ce 0.333 0.667 0.000
La1 La 0.500 0.500 0.500
La2 La 0.166 0.834 0.500
La3 La 0.834 0.166 0.500
# total moment	0.00	μB/f.u.
# symmetry	C2/m
# theoretical density	7.70	g/cm³
# energy relative to the elements, uncorrected	-17.38	eV per formula unit

Record 2
# LaCeNdDy (PBE, optimized geometry)
data_LaCeNdDy
_chemical_formula_sum 'La1 Ce1 Nd1 Dy1'
_cell_length_a 5.786
_cell_length_b 5.786
_cell_length_c 5.786
_cell_angle_alpha 60.00
_cell_angle_beta 60.00
_cell_angle_gamma 60.00
_space_group_name_H-M_alt 'P 1'
_space_group_IT_number 1
_space_group_name_Hall 'P 1'
loop_
_atom_site_label
_atom_site_type_symbol
_atom_site_fract_x
_atom_site_fract_y
_atom_site_fract_z
La1 La 0.250 0.250 0.250
Dy1 Dy 0.000 0.000 0.000
Ce1 Ce 0.500 0.500 0.500
Nd1 Nd 0.750 0.750 0.750
# total moment	3.27	μB/f.u.
# symmetry	F-43m
# theoretical density	7.10	g/cm³
# formation energy	0.198	eV per atom